[1]
This record from the Alexandria database describes a relaxed structure of PuNp3Pd12. The functional is PBE.

Lattice parameters (Å, degrees): 4.1517 4.1517 16.5486 90.00 90.00 90.00
Closest atoms and distances in Å follow each position.
Fractional positions:
Pd: 0.0000 0.5000 0.6249  8 Pd 2.92-2.94, 4 Np 2.93-2.94
Pd: 0.5000 0.0000 0.8736  2 Np 2.91, 8 Pd 2.92-2.95, 2 Pu 2.95
Pd: 0.5000 0.5000 0.0000  4 Pu 2.94, 8 Pd 2.95
Pd: 0.0000 0.5000 0.8736  2 Np 2.91, 8 Pd 2.92-2.95, 2 Pu 2.95
Pd: 0.5000 0.5000 0.7492  8 Pd 2.92, 4 Np 2.94
Pd: 0.5000 0.5000 0.5000  8 Pd 2.93, 4 Np 2.94
Pd: 0.0000 0.5000 0.1264  2 Np 2.91, 8 Pd 2.92-2.95, 2 Pu 2.95
Pd: 0.5000 0.0000 0.1264  2 Np 2.91, 8 Pd 2.92-2.95, 2 Pu 2.95
Pd: 0.0000 0.5000 0.3751  8 Pd 2.92-2.94, 4 Np 2.93-2.94
Pd: 0.5000 0.0000 0.3751  8 Pd 2.92-2.94, 4 Np 2.93-2.94
Pd: 0.5000 0.5000 0.2508  8 Pd 2.92, 4 Np 2.94
Pd: 0.5000 0.0000 0.6249  8 Pd 2.92-2.94, 4 Np 2.93-2.94
Np: 0.0000 0.0000 0.7505  12 Pd 2.91-2.94
Np: 0.0000 0.0000 0.5000  12 Pd 2.93-2.94
Np: 0.0000 0.0000 0.2495  12 Pd 2.91-2.94
Pu: 0.0000 0.0000 0.0000  12 Pd 2.94-2.95

Summary:
E_tot (eV/atom): -7.690

=====

[2]
This record from the Alexandria database describes a relaxed structure of PuNpPd2. The functional is PBE.

Lattice parameters (Å, degrees): 4.9623 4.9623 4.9623 60.00 60.00 60.00
Closest atoms and distances in Å follow each position.
Fractional positions:
Np: 0.0000 0.0000 0.0000  8 Pd 3.04
Pd: 0.7500 0.7500 0.7500  4 Pu 3.04, 4 Np 3.04
Pd: 0.2500 0.2500 0.2500  4 Np 3.04, 4 Pu 3.04
Pu: 0.5000 0.5000 0.5000  8 Pd 3.04

Summary:
Energy relative to the lowest polymorph listed for this composition (kJ per mole of atoms): 0.5

=====

[3]
This record from the Alexandria database describes a relaxed structure of Pu2NpPdS4. The functional is PBE.

Lattice parameters (Å, degrees): 6.7682 5.8602 5.8602 70.52 54.73 54.73
Closest atoms and distances in Å follow each position.
Fractional positions:
S: 0.0803 0.4167 0.0000  1 Pd 2.45
S: 0.9197 0.0000 0.5833  1 Pd 2.45
S: 0.4971 0.5833 0.0000  1 Pd 2.45
S: 0.5029 0.0000 0.4167  1 Pd 2.45
Np: 0.0000 0.0000 0.0000  4 S 2.79
Pu: 0.0000 0.5000 0.5000  8 S 2.82-3.11
Pu: 0.5000 0.5000 0.5000  8 S 2.82-3.11
Pd: 0.5000 0.0000 0.0000  4 S 2.45

Summary:
Formation energy (no corrections) (meV per atom): -1230

=====

[4]
This record from the Alexandria database describes a relaxed structure of Pu2NpSb2Pd2. The functional is PBE.

Lattice parameters (Å, degrees): 4.7280 4.7280 8.8192 74.45 74.45 60.00
Closest atoms and distances in Å follow each position.
Fractional positions:
Pu: 0.1416 0.1416 0.5752  3 Pd 2.88, 3 Pu 3.01, 1 Sb 3.19
Pu: 0.8584 0.8584 0.4248  3 Pd 2.88, 3 Pu 3.01, 1 Sb 3.19
Sb: 0.2683 0.2683 0.1951  3 Pd 2.91, 3 Np 3.18, 1 Pu 3.19
Sb: 0.7317 0.7317 0.8049  3 Pd 2.91, 3 Np 3.18, 1 Pu 3.19
Pd: 0.4382 0.4382 0.6852  3 Pu 2.88, 3 Sb 2.91, 1 Pd 3.11
Pd: 0.5618 0.5618 0.3147  3 Pu 2.88, 3 Sb 2.91, 1 Pd 3.11
Np: 0.0000 0.0000 0.0000  6 Sb 3.18, 2 Pu 3.56

Summary:
Formation energy (no corrections) (meV per atom): -454

=====

[5]
This record from the Alexandria database describes a relaxed structure of RbNp2Pd2S4. The functional is PBE.

Lattice parameters (Å, degrees): 3.6922 8.8695 9.2619 131.42 90.00 102.01
Closest atoms and distances in Å follow each position.
Fractional positions:
Pd: 0.6826 0.3652 0.9811  3 S 2.44-2.54
Pd: 0.3174 0.6348 0.0189  3 S 2.44-2.54
Np: 0.0935 0.1870 0.6221  1 Np 2.39
Np: 0.9065 0.8130 0.3779  1 Np 2.39
S: 0.5034 0.0068 0.3159  1 Pd 2.44
S: 0.2527 0.5054 0.2319  2 Pd 2.54, 2 Np 2.73
S: 0.7473 0.4946 0.7681  2 Pd 2.54, 2 Np 2.73
S: 0.4966 0.9932 0.6841  1 Pd 2.44
Rb: 0.0000 0.0000 0.0000  6 S 3.33-3.43, 2 Rb 3.69

Summary:
Formation energy (no corrections) (meV per atom): -873

=====

[6]
This record from the Alexandria database describes a relaxed structure of RbNp3Pd2S6. The functional is PBE.

Lattice parameters (Å, degrees): 4.0269 9.2459 9.8343 112.82 101.81 90.00
Closest atoms and distances in Å follow each position.
Fractional positions:
S: 0.6784 0.0283 0.3568  3 Np 2.69-2.70
S: 0.3216 0.9717 0.6432  3 Np 2.69-2.70
S: 0.9852 0.2813 0.9703  1 Pd 2.41
S: 0.6556 0.6152 0.3111  2 Pd 2.41
S: 0.3444 0.3848 0.6889  2 Pd 2.41
S: 0.0148 0.7187 0.0297  1 Pd 2.41
Rb: 0.5000 0.0000 0.0000  6 S 3.34-3.39
Np: 0.1696 0.8269 0.3392  6 S 2.69-2.75
Np: 0.5000 0.5000 0.0000  6 S 2.75-2.79
Np: 0.8304 0.1731 0.6608  6 S 2.69-2.75
Pd: 0.1162 0.4600 0.2324  3 S 2.41
Pd: 0.8838 0.5400 0.7676  3 S 2.41

Summary:
Formation energy (no corrections) (meV per atom): -1098

=====

[7]
This record from the Alexandria database describes a relaxed structure of RbNp2PdS4. The functional is PBE.

Lattice parameters (Å, degrees): 4.0476 7.1021 13.8577 90.00 90.00 106.56
Closest atoms and distances in Å follow each position.
Fractional positions:
Rb: 0.1095 0.2191 0.7500  6 S 3.18-3.39
Rb: 0.8905 0.7809 0.2500  6 S 3.18-3.39
S: 0.7395 0.4791 0.6009  1 Pd 2.42
S: 0.2605 0.5209 0.1009  1 Pd 2.42
S: 0.5707 0.1413 0.2500  2 Pd 2.42
S: 0.0000 0.0000 0.0000  4 Np 2.85
S: 0.0000 0.0000 0.5000  4 Np 2.85
S: 0.7395 0.4791 0.8991  1 Pd 2.42
S: 0.2605 0.5209 0.3991  1 Pd 2.42
S: 0.4293 0.8587 0.7500  2 Pd 2.42
Np: 0.6325 0.2650 0.4357  6 S 2.71-2.85
Np: 0.3675 0.7350 0.5643  6 S 2.71-2.85
Np: 0.6325 0.2650 0.0643  6 S 2.71-2.85
Np: 0.3675 0.7350 0.9357  6 S 2.71-2.85
Pd: 0.1675 0.3351 0.2500  4 S 2.42
Pd: 0.8325 0.6649 0.7500  4 S 2.42

Summary:
Formation energy (no corrections) (meV per atom): -1234

=====

[8]
This record from the Alexandria database describes a relaxed structure of Rb2NpPd2S4. The functional is PBE.

Lattice parameters (Å, degrees): 4.0300 7.8234 7.6340 108.34 105.30 90.00
Closest atoms and distances in Å follow each position.
Fractional positions:
Rb: 0.1351 0.5693 0.2702  7 S 3.40-3.53, 3 Pd 3.55-3.79, 1 Rb 3.77
Rb: 0.8649 0.4307 0.7298  7 S 3.40-3.53, 3 Pd 3.55-3.79, 1 Rb 3.77
S: 0.4851 0.2201 0.9703  1 Pd 2.52, 2 Np 2.71
S: 0.8123 0.8295 0.6246  3 Pd 2.40-2.65, 1 Np 2.65
S: 0.1877 0.1705 0.3754  3 Pd 2.40-2.65, 1 Np 2.65
S: 0.5149 0.7799 0.0297  1 Pd 2.52, 2 Np 2.71
Np: 0.0000 0.0000 0.0000  6 S 2.65-2.71
Pd: 0.3163 0.9992 0.6326  4 S 2.40-2.65
Pd: 0.6837 0.0008 0.3674  4 S 2.40-2.65

Summary:
Formation energy (no corrections) (meV per atom): -976

=====

[9]
This record from the Alexandria database describes a relaxed structure of Rb3Np3PdS8. The functional is PBE.

Lattice parameters (Å, degrees): 7.6984 8.1472 9.1598 118.23 90.00 118.19
Closest atoms and distances in Å follow each position.
Fractional positions:
Pd: 0.0000 0.0000 0.5000  4 S 2.44
S: 0.2918 0.5836 0.7262  2 Np 2.65
S: 0.7296 0.4591 0.6956  3 Np 2.75-2.78
S: 0.7980 0.0446 0.3333  1 Pd 2.44
S: 0.2466 0.0446 0.3333  1 Pd 2.44
S: 0.2704 0.5409 0.3044  3 Np 2.75-2.78
S: 0.2020 0.9554 0.6667  1 Pd 2.44
S: 0.7534 0.9554 0.6667  1 Pd 2.44
S: 0.7082 0.4164 0.2738  2 Np 2.65
Rb: 0.0000 0.5000 0.0000  6 S 3.27-3.46
Rb: 0.5000 0.5000 0.0000  6 S 3.27-3.46
Rb: 0.0000 0.0000 0.0000  6 S 3.35-3.37
Np: 0.5000 0.0000 0.5000  6 S 2.73-2.78
Np: 0.5000 0.5000 0.5000  6 S 2.65-2.78
Np: 0.0000 0.5000 0.5000  6 S 2.65-2.78

Summary:
Formation energy (no corrections) (meV per atom): -1161

=====

[10]
This record from the Alexandria database describes a relaxed structure of Rb2Np2PdS6. The functional is PBE.

Lattice parameters (Å, degrees): 6.7627 6.7627 8.1939 97.20 97.20 121.13
Closest atoms and distances in Å follow each position.
Fractional positions:
S: 0.2563 0.2563 0.3293  1 Pd 2.46, 2 Np 2.70
S: 0.7437 0.7437 0.6707  1 Pd 2.46, 2 Np 2.70
S: 0.9387 0.5917 0.3101  2 Np 2.63-2.67, 1 Pd 2.79
S: 0.4083 0.0613 0.6899  2 Np 2.63-2.67, 1 Pd 2.79
S: 0.0613 0.4083 0.6899  2 Np 2.63-2.67, 1 Pd 2.79
S: 0.5917 0.9387 0.3101  2 Np 2.63-2.67, 1 Pd 2.79
Rb: 0.8415 0.1585 0.0000  6 S 3.31-3.37
Rb: 0.1585 0.8415 0.0000  6 S 3.31-3.37
Np: 0.3330 0.6670 0.5000  6 S 2.63-2.70
Np: 0.6670 0.3330 0.5000  6 S 2.63-2.70
Pd: 0.0000 0.0000 0.5000  2 S 2.46

Summary:
Formation energy (no corrections) (meV per atom): -1083

=====

Number 1: calculated density 12.994 g/cm³, Fermi-level density of states 3.178 states/eV/atom. Number 2: calculated density 13.334 g/cm³, Fermi-level density of states 4.280 states/eV/atom. Number 3: calculated density 10.286 g/cm³, Fermi-level density of states 1.994 states/eV/atom. Number 4: calculated density 12.083 g/cm³, Fermi-level density of states 3.140 states/eV/atom. Number 5: calculated density 6.844 g/cm³, Fermi-level density of states 0.844 states/eV/atom. Number 6: calculated density 6.064 g/cm³, Fermi-level density of states 2.256 states/eV/atom. Number 7: calculated density 6.907 g/cm³, Fermi-level density of states 2.372 states/eV/atom. Number 8: calculated density 5.668 g/cm³, Fermi-level density of states 1.025 states/eV/atom. Number 9: calculated density 5.171 g/cm³, Fermi-level density of states 1.536 states/eV/atom. Number 10: calculated density 5.052 g/cm³, Fermi-level density of states 1.772 states/eV/atom.